Entry one
A plane-wave DFT calculation with PBE was carried out for crystalline AcDySc at its relaxed geometry.

a b c (Å): 7.730 7.730 7.730
angles (deg): 90.00 90.00 90.00
Element x y z (fractional)
Ac 0.000 0.000 0.000
Ac 0.000 0.500 0.500
Ac 0.500 0.000 0.500
Ac 0.500 0.500 0.000
Dy 0.250 0.250 0.750
Dy 0.250 0.750 0.250
Dy 0.750 0.250 0.250
Dy 0.750 0.750 0.750
Sc 0.250 0.250 0.250
Sc 0.250 0.750 0.750
Sc 0.750 0.250 0.750
Sc 0.750 0.750 0.250

Computed properties:
- Symmetry: F-43m, No. 216
- ρ: 6.2 g cm⁻³

Entry two
A plane-wave DFT calculation with PBE was carried out for crystalline AcDySc at its relaxed geometry.

a b c (Å): 7.713 7.713 7.713
angles (deg): 90.00 90.00 90.00
Element x y z (fractional)
Ac 0.000 0.000 0.000
Ac 0.000 0.500 0.500
Ac 0.500 0.000 0.500
Ac 0.500 0.500 0.000
Dy 0.000 0.000 0.500
Dy 0.000 0.500 0.000
Dy 0.500 0.000 0.000
Dy 0.500 0.500 0.500
Sc 0.250 0.250 0.250
Sc 0.250 0.750 0.750
Sc 0.750 0.250 0.750
Sc 0.750 0.750 0.250

Computed properties:
- Symmetry: F-43m, No. 216
- ρ: 6.3 g cm⁻³

entry two takes first place; second place is 0.255 eV/atom up.

Entry one
A plane-wave DFT calculation with PBE was carried out for crystalline AcDySn at its relaxed geometry.

a b c (Å): 7.789 7.789 7.789
angles (deg): 90.00 90.00 90.00
Element x y z (fractional)
Ac 0.000 0.000 0.000
Ac 0.000 0.500 0.500
Ac 0.500 0.000 0.500
Ac 0.500 0.500 0.000
Dy 0.250 0.250 0.750
Dy 0.250 0.750 0.250
Dy 0.750 0.250 0.250
Dy 0.750 0.750 0.750
Sn 0.250 0.250 0.250
Sn 0.250 0.750 0.750
Sn 0.750 0.250 0.750
Sn 0.750 0.750 0.250

Computed properties:
- Symmetry: F-43m, No. 216
- ρ: 7.1 g cm⁻³

Entry two
A plane-wave DFT calculation with PBE was carried out for crystalline AcDySn at its relaxed geometry.

a b c (Å): 7.625 7.625 7.625
angles (deg): 90.00 90.00 90.00
Element x y z (fractional)
Ac 0.000 0.000 0.000
Ac 0.000 0.500 0.500
Ac 0.500 0.000 0.500
Ac 0.500 0.500 0.000
Dy 0.000 0.000 0.500
Dy 0.000 0.500 0.000
Dy 0.500 0.000 0.000
Dy 0.500 0.500 0.500
Sn 0.250 0.250 0.250
Sn 0.250 0.750 0.750
Sn 0.750 0.250 0.750
Sn 0.750 0.750 0.250

Computed properties:
- Symmetry: F-43m, No. 216
- ρ: 7.6 g cm⁻³

entry two takes first place; second place is 0.674 eV/atom up.